Here is crystalline ScBeGe at its relaxed geometry from Alexandria. Energies are from PBE-GGA.

abc: 3.750 3.811 3.811
angles: 120.00 90.00 90.00
Element x y z (fractional)
Sc: 0.667 0.667 0.333
Be: 0.167 0.000 0.000
Ge: 0.167 0.333 0.667

Output
* energy relative to the elements: -0.59 eV/atom
* VASP energy: -5.49 eV per atom
* symmetry: P-6m2 (187)